Material: CeNpFe2O6
Method: DFT, GGA+U
State: optimized geometry

Calculated values
Space group: P2_1/c
Density, g cm⁻³: 7.16
Total energy, eV/atom: -8.374
Calculated volume, Å³ per cell: 271

Cell and atoms, written as POSCAR:
```
CeNpFe2O6
1.0
5.6738 0.0000 0.0000
0.0000 5.6725 0.0000
-5.5467 0.0000 8.4231
Ce Np Fe O
2 2 4 12
Direct
0.0000 0.0000 0.0000 Ce
0.0000 0.5000 0.5000 Ce
0.5000 0.0000 0.5000 Np
0.5000 0.5000 0.0000 Np
0.2245 0.0242 0.7450 Fe
0.2245 0.4758 0.2450 Fe
0.7755 0.5242 0.7550 Fe
0.7755 0.9758 0.2550 Fe
0.1216 0.1267 0.2560 O
0.1216 0.3733 0.7560 O
0.2386 0.6558 0.0717 O
0.2386 0.8442 0.5717 O
0.4386 0.1758 0.0852 O
0.4386 0.3242 0.5852 O
0.5614 0.6758 0.4148 O
0.5614 0.8242 0.9148 O
0.7614 0.1558 0.4283 O
0.7614 0.3442 0.9283 O
0.8784 0.6267 0.2440 O
0.8784 0.8733 0.7440 O
```